DFT (GGA-PBE) results for LaScZnSe2 after structural relaxation.

Properties
Formation energy without anion corrections, meV per atom: -315
Density of states at the Fermi level, states/eV per cell: 3.660
DFT total energy, eV/atom: -4.216
Crystal system: tetragonal

abc: 5.136 5.136 4.854
angles: 90.00 90.00 90.00
Sites, in units of the cell vectors:
La 0.000 0.000 0.000
Sc 0.500 0.500 0.000
Zn 0.500 0.500 0.500
Se 0.000 0.500 0.500
Se 0.500 0.000 0.500

DFT (GGA-PBE) results for PmPaO4 after structural relaxation.

Properties
Formation energy without anion corrections, meV per atom: -3688
Density of states at the Fermi level, states/eV per cell: 0.000
Relative energy among the computed polymorphs, eV/atom: 0.000
DFT total energy, eV/atom: -9.367
Crystal system: trigonal

abc: 6.624 6.624 6.624
angles: 34.35 34.35 34.35
Sites, in units of the cell vectors:
Pm 0.000 0.000 0.000
Pa 0.500 0.500 0.500
O 0.133 0.133 0.133
O 0.383 0.383 0.383
O 0.617 0.617 0.617
O 0.867 0.867 0.867

DFT (GGA-PBE) results for VGe3Cl after structural relaxation.

Properties
Formation energy without anion corrections, meV per atom: 158
Density of states at the Fermi level, states/eV per cell: 5.995
Relative energy among the computed polymorphs, eV/atom: 0.000
DFT total energy, eV/atom: -4.805
Crystal system: cubic

abc: 4.817 4.817 4.817
angles: 90.00 90.00 90.00
Sites, in units of the cell vectors:
V 0.000 0.000 0.000
Ge 0.000 0.000 0.500
Ge 0.000 0.500 0.000
Ge 0.500 0.000 0.000
Cl 0.500 0.500 0.500

DFT (GGA-PBE) results for SrNi2P after structural relaxation.

Properties
Calculated formation energy, eV/atom: 0.263
Density of states at the Fermi level, states/eV per cell: 6.273
DFT total energy, eV/atom: -4.400
Crystal system: cubic

abc: 4.587 4.587 4.587
angles: 60.00 60.00 60.00
Sites, in units of the cell vectors:
Sr 0.000 0.000 0.000
Ni 0.500 0.500 0.500
Ni 0.750 0.750 0.750
P 0.250 0.250 0.250

DFT (GGA-PBE) results for Li2AcMg3 after structural relaxation.

Properties
Calculated formation energy, eV/atom: -0.003
Density of states at the Fermi level, states/eV per cell: 9.648
Relative energy among the computed polymorphs, eV/atom: 0.000
DFT total energy, eV/atom: -2.123
Crystal system: hexagonal

abc: 5.012 5.012 14.705
angles: 90.00 90.00 120.00
Sites, in units of the cell vectors:
Li 0.333 0.667 0.082
Li 0.333 0.667 0.418
Li 0.667 0.333 0.582
Li 0.667 0.333 0.918
Ac 0.000 0.000 0.250
Ac 0.000 0.000 0.750
Mg 0.000 0.000 0.000
Mg 0.000 0.000 0.500
Mg 0.333 0.667 0.614
Mg 0.333 0.667 0.886
Mg 0.667 0.333 0.114
Mg 0.667 0.333 0.386

DFT (GGA-PBE) results for K2CdGa4Ge3 after structural relaxation.

Properties
Calculated formation energy, eV/atom: -0.117
Density of states at the Fermi level, states/eV per cell: 2.771
DFT total energy, eV/atom: -3.024
Crystal system: tetragonal

abc: 4.646 4.646 10.886
angles: 90.00 90.00 90.00
Sites, in units of the cell vectors:
K 0.000 0.500 0.244
K 0.500 0.000 0.756
Cd 0.000 0.000 0.500
Ga 0.000 0.000 0.000
Ga 0.000 0.500 0.638
Ga 0.500 0.000 0.362
Ga 0.500 0.500 0.000
Ge 0.000 0.500 0.875
Ge 0.500 0.000 0.125
Ge 0.500 0.500 0.500

- What is the density of states at the Fermi level in the sixth record?
  2.771 states/eV per cell